[1]
# PBE-GGA TcHRu2, relaxed
# Crystal system: tetragonal
# Total magnetization (μB/atom): 0.000
# E above lowest polymorph (meV/atom): 276
data_TcHRu2
_cell_length_a 2.751
_cell_length_b 2.751
_cell_length_c 6.127
_cell_angle_alpha 90.00
_cell_angle_beta 90.00
_cell_angle_gamma 90.00
_space_group_name_H-M_alt 'P 4/m m m'
_space_group_IT_number 123
_space_group_name_Hall '-P 4 2'
loop_
_atom_site_label
_atom_site_fract_x
_atom_site_fract_y
_atom_site_fract_z
Tc1 0.000 0.000 0.000
H1 0.000 0.000 0.500
Ru1 0.500 0.500 0.297

[2]
# PBE-GGA TcHRu, relaxed
# Crystal system: orthorhombic
# Total magnetization (μB/atom): 0.000
# E above lowest polymorph (meV/atom): 95
data_TcHRu
_cell_length_a 9.944
_cell_length_b 2.820
_cell_length_c 4.481
_cell_angle_alpha 90.00
_cell_angle_beta 90.00
_cell_angle_gamma 90.00
_space_group_name_H-M_alt 'P n m a'
_space_group_IT_number 62
loop_
_space_group_symop_operation_xyz
'x,y,z'
'-x,-y,-z'
'-x+1/2,-y,z+1/2'
'x+1/2,y,-z+1/2'
'x+1/2,-y+1/2,-z+1/2'
'-x+1/2,y+1/2,z+1/2'
'-x,y+1/2,-z'
'x,-y+1/2,z'
loop_
_atom_site_label
_atom_site_fract_x
_atom_site_fract_y
_atom_site_fract_z
Tc1 0.053 0.250 0.225
H1 0.049 0.250 0.635
Ru1 0.219 0.250 0.754

Copy entry 2 word for word.
# PBE-GGA TcHRu, relaxed
# Crystal system: orthorhombic
# Total magnetization (μB/atom): 0.000
# E above lowest polymorph (meV/atom): 95
data_TcHRu
_cell_length_a 9.944
_cell_length_b 2.820
_cell_length_c 4.481
_cell_angle_alpha 90.00
_cell_angle_beta 90.00
_cell_angle_gamma 90.00
_space_group_name_H-M_alt 'P n m a'
_space_group_IT_number 62
loop_
_space_group_symop_operation_xyz
'x,y,z'
'-x,-y,-z'
'-x+1/2,-y,z+1/2'
'x+1/2,y,-z+1/2'
'x+1/2,-y+1/2,-z+1/2'
'-x+1/2,y+1/2,z+1/2'
'-x,y+1/2,-z'
'x,-y+1/2,z'
loop_
_atom_site_label
_atom_site_fract_x
_atom_site_fract_y
_atom_site_fract_z
Tc1 0.053 0.250 0.225
H1 0.049 0.250 0.635
Ru1 0.219 0.250 0.754

> Look up the total magnetization of the second one.

0.000 μB/atom